DFT (PBE) results for a relaxed structure of Tm8Tc2Pt.

Its magnetization is 0.000 μB/f.u. As for the energy of formation: -3.1 eV/f.u. Its theoretical density is 10.2 g cm⁻³. The calculated volume is 567 Å³ per cell. The calculated total energy is -5.97 eV/atom.

The structure belongs to space group Cm (No. 8); the cell edges are 8.3431, 12.5688 and 5.7437 Å and the angles 90.00°, 109.76° and 90.00°. The asymmetric unit holds Tm at (0.0000, 0.0000, 0.0000), Tm at (0.0680, 0.3699, 0.7918), Tm at (0.1522, 0.1317, 0.5976), Tm at (0.2345, 0.5000, 0.3898), Tm at (0.3609, 0.2152, 0.1924), Tc at (0.3631, 0.3097, 0.7006) and Pt at (0.3706, 0.0000, 0.0500).

DFT (PBE) results for a relaxed structure of NaLaCrTe2.

Its magnetization is 5.368 μB/f.u. For the formation energy from raw total energies, the calculation gives 6 kJ per mole of atoms. Its theoretical density is 3.5 g cm⁻³. The calculated volume is 222 Å³ per cell. The calculated total energy is -4.37 eV/atom.

The structure belongs to space group P4/mmm (No. 123); the cell edges are 6.1632, 6.1632 and 5.8495 Å and the angles 90.00°, 90.00° and 90.00°. The asymmetric unit holds Na at (0.0000, 0.0000, 0.0000), La at (0.5000, 0.5000, 0.5000), Cr at (0.5000, 0.5000, 0.0000) and Te at (0.0000, 0.5000, 0.5000).

DFT (PBE) results for a relaxed structure of BeTl2Re.

Its magnetization is 0.660 μB/f.u. As for the energy of formation: 4.8 eV/f.u. Its theoretical density is 13.3 g cm⁻³. The calculated volume is 76 Å³ per cell. The calculated total energy is -4.02 eV/atom.

The structure belongs to space group P4/mmm (No. 123); the cell edges are 2.9794, 2.9794 and 8.5085 Å and the angles 90.00°, 90.00° and 90.00°. The asymmetric unit holds Be at (0.0000, 0.0000, 0.0000), Tl at (0.5000, 0.5000, 0.2363) and Re at (0.0000, 0.0000, 0.5000).

DFT (PBE) results for a relaxed structure of Zr9TlIn2.

Its magnetization is 0.000 μB/f.u. As for the energy of formation: -2.4 eV/f.u. Its theoretical density is 7.7 g cm⁻³. The calculated volume is 269 Å³ per cell. The calculated total energy is -7.26 eV/atom.

The structure belongs to space group P4/mmm (No. 123); the cell edges are 4.4781, 4.4781 and 13.4387 Å and the angles 90.00°, 90.00° and 90.00°. The asymmetric unit holds Zr at (0.0000, 0.0000, 0.0000), Zr at (0.0000, 0.0000, 0.3336), Zr at (0.0000, 0.5000, 0.1680), Zr at (0.0000, 0.5000, 0.5000), Tl at (0.5000, 0.5000, 0.0000) and In at (0.5000, 0.5000, 0.3337).

DFT (PBE) results for a relaxed structure of Te2BrNCl.

Its magnetization is 1.435 μB/f.u. For the formation energy from raw total energies, the calculation gives 134 kJ per mole of atoms. Its theoretical density is 4.5 g cm⁻³. The calculated volume is 142 Å³ per cell. The calculated total energy is -2.24 eV/atom.

The structure belongs to space group P4/mmm (No. 123); the cell edges are 6.2948, 6.2948 and 3.5950 Å and the angles 90.00°, 90.00° and 90.00°. The asymmetric unit holds Te at (0.0000, 0.5000, 0.0000), Br at (0.0000, 0.0000, 0.0000), N at (0.0000, 0.0000, 0.5000) and Cl at (0.5000, 0.5000, 0.5000).

DFT (PBE) results for a relaxed structure of BaH2Pd2Pb.

Its magnetization is 0.000 μB/f.u. Its theoretical density is 7.9 g cm⁻³. The calculated volume is 236 Å³ per cell. The calculated total energy is -4.15 eV/atom.

The structure belongs to space group P2_1/m (No. 11); the cell edges are 5.3871, 5.6562 and 7.9655 Å and the angles 90.00°, 103.98° and 90.00°. The asymmetric unit holds Ba at (0.2222, 0.2500, 0.3849), H at (0.1520, 0.2500, 0.7079), H at (0.3032, 0.7500, 0.6695), Pd at (0.3374, 0.0054, 0.8054) and Pb at (0.1774, 0.7500, 0.0734).

DFT (PBE) results for a relaxed structure of CoRe2Si.

Its magnetization is 1.892 μB/f.u. For the formation energy from raw total energies, the calculation gives 7 kJ per mole of atoms. Its theoretical density is 14.2 g cm⁻³. The calculated volume is 215 Å³ per cell. The calculated total energy is -9.28 eV/atom.

The structure belongs to space group F-43m (No. 216); the cell edges are 5.9921, 5.9921 and 5.9921 Å and the angles 90.00°, 90.00° and 90.00°. The asymmetric unit holds Co at (0.0000, 0.0000, 0.0000), Re at (0.0000, 0.0000, 0.5000), Re at (0.2500, 0.2500, 0.2500) and Si at (0.2500, 0.2500, 0.7500).

What is the theoretical density in the third record?
13.3 g cm⁻³

Look up the theoretical density of the sixth one.
7.9 g cm⁻³

Which of these has the lowest calculated volume?
BeTl2Re

Among the records above, which one has the highest calculated total energy?
Te2BrNCl